Record 1
Here is crystalline HgTeAsI2 at its relaxed geometry from Alexandria via LeMat-Bulk. Energies are from PBE.

abc: 5.712 5.712 5.616
angles: 90.00 90.00 90.00
Positions (direct):
Hg 0.500 0.500 0.500
As 0.000 0.000 0.000
I 0.000 0.500 0.000
I 0.500 0.000 0.000
Te 0.000 0.000 0.500

Computed properties:
**Formation energy without anion corrections**: 0.204 eV/atom
**Total magnetic moment**: 0.00 Bohr magnetons per cell
**Excess energy over the best structure of this formula in the dataset**: 0.00 kcal/mol of atoms

=====

Record 2
Here is crystalline HgTeAsI2 at its relaxed geometry from Alexandria via LeMat-Bulk. Energies are from PBE.

abc: 5.811 5.811 5.892
angles: 90.00 90.00 90.00
Positions (direct):
As 0.500 0.500 0.500
Hg 0.000 0.000 0.000
Te 0.000 0.000 0.500
I 0.500 0.000 0.000
I 0.000 0.500 0.000

Computed properties:
**Formation energy without anion corrections**: 0.699 eV/atom
**Total magnetic moment**: 1.12 Bohr magnetons per cell
**Excess energy over the best structure of this formula in the dataset**: 11.41 kcal/mol of atoms

=====

Record 3
Here is crystalline Hg4TeAsI at its relaxed geometry from Alexandria via LeMat-Bulk. Energies are from PBE.

abc: 9.070 7.061 7.678
angles: 90.00 98.62 90.00
Positions (direct):
As 0.174 0.750 0.232
As 0.826 0.250 0.768
Te 0.574 0.750 0.802
Te 0.426 0.250 0.198
I 0.769 0.750 0.326
I 0.231 0.250 0.674
Hg 0.361 0.750 0.516
Hg 0.989 0.559 0.758
Hg 0.374 0.750 0.030
Hg 0.011 0.059 0.242
Hg 0.626 0.250 0.970
Hg 0.989 0.941 0.758
Hg 0.639 0.250 0.484
Hg 0.011 0.441 0.242

Computed properties:
**Formation energy without anion corrections**: -0.065 eV/atom
**Total magnetic moment**: 0.00 Bohr magnetons per cell

=====

no.,volume (Å³ per atom)
1,36.6
2,39.8
3,34.7